First-principles (PBE-GGA) data for TiCuSi2 after structural relaxation, as listed in Alexandria.

Values from the calculation:
ρ = 3.06 g cm⁻³
ΔE_f (raw) = 0.583 eV/atom
magnetic moment = 0.01 Bohr magnetons per cell

Cell and atoms, written as CIF:
```
data_TiCuSi2
_chemical_formula_sum 'Ti3 Cu3 Si6'
_symmetry_space_group_name_H-M 'P 1'
_symmetry_Int_Tables_number 1
_cell_length_a 4.2391
_cell_length_b 4.2391
_cell_length_c 17.5521
_cell_angle_alpha 90.00
_cell_angle_beta 90.00
_cell_angle_gamma 120.00
loop_
_symmetry_equiv_pos_as_xyz
'x,y,z'
loop_
_atom_site_label
_atom_site_fract_x
_atom_site_fract_y
_atom_site_fract_z
Ti1 0.0000 0.0000 0.0000
Ti2 0.3333 0.6667 0.6667
Ti3 0.6667 0.3333 0.3333
Cu1 0.0000 0.0000 0.5000
Cu2 0.3333 0.6667 0.1667
Cu3 0.6667 0.3333 0.8333
Si1 0.0000 0.0000 0.3718
Si2 0.0000 0.0000 0.6282
Si3 0.3333 0.6667 0.0384
Si4 0.3333 0.6667 0.2949
Si5 0.6667 0.3333 0.7051
Si6 0.6667 0.3333 0.9616
```